Below is an optimized crystal structure of VNCl3, with properties calculated at the PBE level.

magnetic moment = 4.014 μB per cell
E = -18.17 eV for the cell shown
crystal system = cubic
energy above the most stable polymorph in this dataset = 89.01 kJ per mole of atoms
V = 88.2 Å³/cell
uncorrected formation energy = 962.7 meV per atom
Fermi-level density of states = 6.10 states/eV/f.u.

Geometry as CIF:
```
data_VNCl3
_symmetry_space_group_name_H-M 'P 1'
_symmetry_Int_Tables_number 1
_cell_length_a 4.451
_cell_length_b 4.451
_cell_length_c 4.451
_cell_angle_alpha 90.00
_cell_angle_beta 90.00
_cell_angle_gamma 90.00
loop_
_symmetry_equiv_pos_as_xyz
'x,y,z'
loop_
_atom_site_label
_atom_site_type_symbol
_atom_site_fract_x
_atom_site_fract_y
_atom_site_fract_z
Cl1 Cl 0.500 0.000 0.000
Cl2 Cl 0.000 0.000 0.500
Cl3 Cl 0.000 0.500 0.000
N1 N 0.000 0.000 0.000
V1 V 0.500 0.500 0.500
```